## EuGdAg2 (GGA-PBE)

Data for a relaxed structure of EuGdAg2.

Its crystal system is cubic. As for the total magnetization: 0.14 μB/f.u. Its space-group type is No. 225. The final energy is -31.13 eV/cell. As for the calculated volume: 103.81 Å³/cell. The calculation puts the calculated formation energy at -0.2671 eV/atom.

Structure (CIF):
```
data_EuGdAg2
_cell_length_a 5.273
_cell_length_b 5.273
_cell_length_c 5.278
_cell_angle_alpha 60.03
_cell_angle_beta 60.03
_cell_angle_gamma 60.00
_space_group_name_H-M_alt 'P 1'
_space_group_IT_number 1
_space_group_name_Hall 'P 1'
loop_
_atom_site_label
_atom_site_type_symbol
_atom_site_fract_x
_atom_site_fract_y
_atom_site_fract_z
Eu1 Eu 0.000 0.000 0.000
Gd1 Gd 0.500 0.500 0.500
Ag1 Ag 0.750 0.750 0.750
Ag2 Ag 0.250 0.250 0.250
```



## Li7Pd2Pb (GGA-PBE)

Data for a relaxed structure of Li7Pd2Pb.

Its crystal system is orthorhombic. As for the total magnetization: 0.00 μB/f.u. Its space-group type is No. 65. The final energy is -28.30 eV/cell. As for the calculated volume: 215.93 Å³/cell. The calculation puts the calculated formation energy at -0.0813 eV/atom.

Structure (CIF):
```
data_Li7Pd2Pb
_cell_length_a 4.698
_cell_length_b 7.209
_cell_length_c 7.209
_cell_angle_alpha 117.84
_cell_angle_beta 90.00
_cell_angle_gamma 90.00
_space_group_name_H-M_alt 'P 1'
_space_group_IT_number 1
_space_group_name_Hall 'P 1'
loop_
_atom_site_label
_atom_site_type_symbol
_atom_site_fract_x
_atom_site_fract_y
_atom_site_fract_z
Li1 Li 0.000 0.744 0.256
Li2 Li 0.000 0.256 0.744
Li3 Li 0.500 0.056 0.309
Li4 Li 0.500 0.944 0.691
Li5 Li 0.500 0.309 0.056
Li6 Li 0.500 0.691 0.944
Li7 Li 0.500 0.500 0.500
Pd1 Pd 0.500 0.699 0.301
Pd2 Pd 0.500 0.301 0.699
Pb1 Pb 0.000 0.000 0.000
```



## La2NdZrP4 (GGA-PBE)

Data for a relaxed structure of La2NdZrP4.

Its crystal system is monoclinic. As for the total magnetization: 0.00 μB/f.u. Its space-group type is No. 10. The final energy is -56.70 eV/cell. As for the calculated volume: 194.99 Å³/cell. The calculation puts the calculated formation energy at -1.4857 eV/atom.

Structure (CIF):
```
data_La2NdZrP4
_cell_length_a 4.086
_cell_length_b 7.089
_cell_length_c 7.125
_cell_angle_alpha 109.13
_cell_angle_beta 90.00
_cell_angle_gamma 90.00
_space_group_name_H-M_alt 'P 1'
_space_group_IT_number 1
_space_group_name_Hall 'P 1'
loop_
_atom_site_label
_atom_site_type_symbol
_atom_site_fract_x
_atom_site_fract_y
_atom_site_fract_z
La1 La 0.500 0.000 0.500
La2 La 0.000 0.500 0.500
Nd1 Nd 0.500 0.500 0.000
Zr1 Zr 0.000 0.000 0.000
P1 P 0.500 0.230 0.227
P2 P 0.500 0.770 0.773
P3 P 0.000 0.240 0.765
P4 P 0.000 0.760 0.235
```



## CsTl3Rh (GGA-PBE)

Data for a relaxed structure of CsTl3Rh.

Its crystal system is monoclinic. As for the total magnetization: 0.00 μB/f.u. Its space-group type is No. 13. The final energy is -61.10 eV/cell. As for the calculated volume: 649.98 Å³/cell. The calculation puts the calculated formation energy at 0.0057 eV/atom.

Structure (CIF):
```
data_CsTl3Rh
_cell_length_a 15.699
_cell_length_b 9.249
_cell_length_c 9.249
_cell_angle_alpha 95.63
_cell_angle_beta 130.35
_cell_angle_gamma 49.65
_space_group_name_H-M_alt 'P 1'
_space_group_IT_number 1
_space_group_name_Hall 'P 1'
loop_
_atom_site_label
_atom_site_type_symbol
_atom_site_fract_x
_atom_site_fract_y
_atom_site_fract_z
Cs1 Cs 0.250 0.248 0.248
Cs2 Cs 0.250 0.748 0.748
Cs3 Cs 0.750 0.752 0.752
Cs4 Cs 0.750 0.252 0.252
Tl1 Tl 0.500 0.750 0.750
Tl2 Tl 0.000 0.250 0.250
Tl3 Tl 0.500 0.250 0.250
Tl4 Tl 0.000 0.750 0.750
Tl5 Tl 0.000 0.123 0.876
Tl6 Tl 0.500 0.376 0.623
Tl7 Tl 0.000 0.877 0.124
Tl8 Tl 0.500 0.624 0.377
Tl9 Tl 0.500 0.876 0.123
Tl10 Tl 0.000 0.623 0.376
Tl11 Tl 0.500 0.124 0.877
Tl12 Tl 0.000 0.377 0.624
Rh1 Rh 0.750 0.153 0.653
Rh2 Rh 0.250 0.847 0.347
Rh3 Rh 0.750 0.653 0.153
Rh4 Rh 0.250 0.347 0.847
```